First-principles (GGA-PBE) data for an optimized crystal structure of Ho3Re5N12, as listed in Alexandria.

a = 11.0160 Å, b = 11.0160 Å, c = 11.0160 Å
α = 109.47°, β = 109.47°, γ = 109.47°
Fractional coordinates of all 80 atoms:
Ho  0.1250  0.2500  0.3750
Ho  0.1250  0.3750  0.7500
Ho  0.2500  0.3750  0.1250
Ho  0.2500  0.8750  0.6250
Ho  0.3750  0.1250  0.2500
Ho  0.3750  0.7500  0.1250
Ho  0.6250  0.2500  0.8750
Ho  0.6250  0.8750  0.7500
Ho  0.7500  0.1250  0.3750
Ho  0.7500  0.6250  0.8750
Ho  0.8750  0.6250  0.2500
Ho  0.8750  0.7500  0.6250
Re  0.0000  0.0000  0.0000
Re  0.0000  0.0000  0.5000
Re  0.0000  0.5000  0.0000
Re  0.0000  0.5000  0.5000
Re  0.1250  0.7500  0.8750
Re  0.1250  0.8750  0.2500
Re  0.2500  0.1250  0.8750
Re  0.2500  0.6250  0.3750
Re  0.3750  0.2500  0.6250
Re  0.3750  0.6250  0.7500
Re  0.5000  0.0000  0.0000
Re  0.5000  0.0000  0.5000
Re  0.5000  0.5000  0.0000
Re  0.5000  0.5000  0.5000
Re  0.6250  0.3750  0.2500
Re  0.6250  0.7500  0.3750
Re  0.7500  0.3750  0.6250
Re  0.7500  0.8750  0.1250
Re  0.8750  0.1250  0.7500
Re  0.8750  0.2500  0.1250
N  0.0176  0.1987  0.1170
N  0.0176  0.3189  0.9006
N  0.0816  0.6987  0.6811
N  0.0816  0.8830  0.4006
N  0.0994  0.6170  0.4184
N  0.0994  0.9824  0.6811
N  0.1170  0.0176  0.1987
N  0.1170  0.5994  0.9184
N  0.1811  0.1987  0.5816
N  0.1811  0.4824  0.5994
N  0.1987  0.1170  0.0176
N  0.1987  0.5816  0.1811
N  0.3013  0.3189  0.9184
N  0.3013  0.4824  0.3830
N  0.3189  0.9006  0.0176
N  0.3189  0.9184  0.3013
N  0.3830  0.3013  0.4824
N  0.3830  0.5816  0.9006
N  0.4006  0.0816  0.8830
N  0.4006  0.8189  0.5176
N  0.4184  0.0994  0.6170
N  0.4184  0.8189  0.8013
N  0.4824  0.3830  0.3013
N  0.4824  0.5994  0.1811
N  0.5176  0.4006  0.8189
N  0.5176  0.6170  0.6987
N  0.5816  0.1811  0.1987
N  0.5816  0.9006  0.3830
N  0.5994  0.1811  0.4824
N  0.5994  0.9184  0.1170
N  0.6170  0.4184  0.0994
N  0.6170  0.6987  0.5176
N  0.6811  0.0816  0.6987
N  0.6811  0.0994  0.9824
N  0.6987  0.5176  0.6170
N  0.6987  0.6811  0.0816
N  0.8013  0.4184  0.8189
N  0.8013  0.8830  0.9824
N  0.8189  0.5176  0.4006
N  0.8189  0.8013  0.4184
N  0.8830  0.4006  0.0816
N  0.8830  0.9824  0.8013
N  0.9006  0.0176  0.3189
N  0.9006  0.3830  0.5816
N  0.9184  0.1170  0.5994
N  0.9184  0.3013  0.3189
N  0.9824  0.6811  0.0994
N  0.9824  0.8013  0.8830

Calculated values
Calculated volume, A^3/atom: 12.86
Electronic total energy, eV for the cell shown: -744.595
Fermi-level density of states, states/eV/cell: 28.0
Formation energy from raw total energies, eV/atom: -0.514
Magnetic moment, μB/f.u.: 0.00

---

First-principles (GGA-PBE) data for an optimized crystal structure of RhPbI2, as listed in Alexandria.

a = 7.8815 Å, b = 7.8815 Å, c = 7.8815 Å
α = 127.79°, β = 127.79°, γ = 76.97°
Fractional coordinates of all 8 atoms:
Rh  0.0000  0.0000  0.0000
Rh  0.7500  0.2500  0.5000
Pb  0.2500  0.7500  0.5000
Pb  0.5000  0.5000  0.0000
I  0.0536  0.6250  0.9286
I  0.3750  0.3036  0.4286
I  0.6964  0.1250  0.0714
I  0.8750  0.9464  0.5714

Calculated values
Calculated volume, A^3/atom: 37.10
Electronic total energy, eV for the cell shown: -26.687
Fermi-level density of states, states/eV/cell: 7.4
Formation energy from raw total energies, eV/atom: 0.204
Magnetic moment, μB/f.u.: 0.00

---

First-principles (GGA-PBE) data for an optimized crystal structure of ThZr2, as listed in Alexandria.

a = 3.3714 Å, b = 3.3714 Å, c = 7.9125 Å
α = 90.00°, β = 90.00°, γ = 120.00°
Fractional coordinates of all 3 atoms:
Th  0.0000  0.0000  0.0000
Zr  0.3333  0.6667  0.6598
Zr  0.6667  0.3333  0.3402

Calculated values
Calculated volume, A^3/atom: 25.96
Electronic total energy, eV for the cell shown: -24.125
Fermi-level density of states, states/eV/cell: 4.3
Energy of formation, meV per atom: 130
Magnetic moment, μB/f.u.: 0.00

---

First-principles (GGA-PBE) data for an optimized crystal structure of MgPa3H, as listed in Alexandria.

a = 4.6737 Å, b = 4.6737 Å, c = 4.6737 Å
α = 90.00°, β = 90.00°, γ = 90.00°
Fractional coordinates of all 5 atoms:
Mg  0.0000  0.0000  0.0000
Pa  0.0000  0.5000  0.5000
Pa  0.5000  0.0000  0.5000
Pa  0.5000  0.5000  0.0000
H  0.5000  0.5000  0.5000

Calculated values
Calculated volume, A^3/atom: 20.42
Electronic total energy, eV for the cell shown: -32.926
Fermi-level density of states, states/eV/cell: 8.7
Magnetic moment, μB/f.u.: 0.00